1.
{
  "formula": "CaRh2C",
  "functional": "PBE-GGA",
  "state": "relaxed",
  "n_ef_per_ev_atom": 0.222,
  "e_tot_ev_per_cell": -53.26,
  "vol_a3_per_cell": 130.4,
  "e_form_ev_per_atom": -0.175,
  "cell": [[6.8296, 0.0000, 0.0000], [0.0000, 6.8296, 0.0000], [3.4148, 3.4148, 2.7950]],
  "species": ["Ca", "Ca", "Rh", "Rh", "Rh", "Rh", "C", "C"],
  "fractional_positions": [[0.0000, 0.0000, 0.0000], [0.7500, 0.2500, 0.5000], [0.4823, 0.1250, 0.2500], [0.2677, 0.6250, 0.2500], [0.3750, 0.5177, 0.7500], [0.8750, 0.7323, 0.7500], [0.5000, 0.5000, 0.0000], [0.2500, 0.7500, 0.5000]]
}

***

2.
{
  "formula": "AlCdAs",
  "functional": "PBE-GGA",
  "state": "relaxed",
  "n_ef_per_ev_atom": 0.614,
  "e_tot_ev_per_cell": -8.75,
  "vol_a3_per_cell": 60.7,
  "e_form_ev_per_atom": 0.185,
  "cell": [[-2.7568, 1.2048, -3.7387], [-1.9757, -1.9847, 3.8971], [-0.4160, 2.7678, 1.1987]],
  "species": ["As", "Al", "Cd"],
  "fractional_positions": [[0.6667, 0.3333, 0.1679], [0.0000, 0.0000, 0.1661], [0.3333, 0.6667, 0.6660]]
}

***

3.
{
  "formula": "Pr2SmEr2",
  "functional": "PBE-GGA",
  "state": "relaxed",
  "n_ef_per_ev_atom": 1.267,
  "e_tot_ev_per_cell": -23.36,
  "vol_a3_per_cell": 166.8,
  "e_form_ev_per_atom": 0.008,
  "cell": [[3.5091, 0.0000, 0.9269], [1.5012, 2.9781, 1.4225], [-2.3821, 2.2996, 16.1244]],
  "species": ["Pr", "Pr", "Sm", "Er", "Er"],
  "fractional_positions": [[0.2390, 0.4152, 0.1069], [0.7610, 0.5848, 0.8931], [0.5000, 0.5000, 0.5000], [0.2962, 0.7126, 0.6949], [0.7038, 0.2874, 0.3051]]
}